# MgScTe3 GGA-PBE optimized geometry
# DFT total energy (hartree per atom): -0.1278
# Volume (Å³ per atom): 31.342
# Relative energy among the computed polymorphs (eV per atom): 0.829
# Spin magnetization (μB/atom): 0.000
# DOS at the Fermi energy (states/eV/cell): 5.85
# Raw formation energy (meV per atom): -7
data_MgScTe3
_space_group_name_H-M_alt 'P m -3 m'
_space_group_IT_number 221
_space_group_name_Hall '-P 4 2 3'
_cell_length_a 5.3914
_cell_length_b 5.3914
_cell_length_c 5.3914
_cell_angle_alpha 90.00
_cell_angle_beta 90.00
_cell_angle_gamma 90.00
loop_
_atom_site_label
_atom_site_type_symbol
_atom_site_fract_x
_atom_site_fract_y
_atom_site_fract_z
Mg1 Mg 0.0000 0.0000 0.0000
Sc1 Sc 0.5000 0.5000 0.5000
Te1 Te 0.0000 0.0000 0.5000

---

# Y2BeSbAu GGA-PBE optimized geometry
# DFT total energy (hartree per atom): -0.1705
# Volume (Å³ per atom): 28.147
# Spin magnetization (μB/atom): 0.000
# DOS at the Fermi energy (states/eV/cell): 4.49
# Raw formation energy (meV per atom): 170
data_Y2BeSbAu
_space_group_name_H-M_alt 'P 4/m m m'
_space_group_IT_number 123
_space_group_name_Hall '-P 4 2'
_cell_length_a 5.7099
_cell_length_b 5.7099
_cell_length_c 4.3166
_cell_angle_alpha 90.00
_cell_angle_beta 90.00
_cell_angle_gamma 90.00
loop_
_atom_site_label
_atom_site_type_symbol
_atom_site_fract_x
_atom_site_fract_y
_atom_site_fract_z
Y1 Y 0.0000 0.5000 0.0000
Be1 Be 0.0000 0.0000 0.5000
Sb1 Sb 0.0000 0.0000 0.0000
Au1 Au 0.5000 0.5000 0.5000

---

# Ba2CdSn4Ir3 GGA-PBE optimized geometry
# DFT total energy (hartree per atom): -0.1877
# Volume (Å³ per atom): 25.024
# Spin magnetization (μB/atom): 0.000
# DOS at the Fermi energy (states/eV/cell): 7.80
data_Ba2CdSn4Ir3
_space_group_name_H-M_alt 'P -4 m 2'
_space_group_IT_number 115
_space_group_name_Hall 'P -4 -2'
_cell_length_a 4.7419
_cell_length_b 4.7419
_cell_length_c 11.1288
_cell_angle_alpha 90.00
_cell_angle_beta 90.00
_cell_angle_gamma 90.00
loop_
_atom_site_label
_atom_site_type_symbol
_atom_site_fract_x
_atom_site_fract_y
_atom_site_fract_z
Ba1 Ba 0.0000 0.5000 0.2464
Cd1 Cd 0.0000 0.0000 0.5000
Sn1 Sn 0.0000 0.0000 0.0000
Sn2 Sn 0.0000 0.5000 0.6381
Sn3 Sn 0.5000 0.5000 0.0000
Ir1 Ir 0.0000 0.5000 0.8798
Ir2 Ir 0.5000 0.5000 0.5000